No. 1
Compound: SrMgTe2
Source: Alexandria via LeMat-Bulk
Functional: SCAN
Structure: PBEsol geometry

Properties
E: -1.9656 Ry/atom
volume: 127.6 Å³/cell
magnetization: 0.000 μB/atom

Structure (CIF):
```
data_SrMgTe2
_cell_length_a 4.484
_cell_length_b 6.331
_cell_length_c 4.496
_cell_angle_alpha 90.00
_cell_angle_beta 90.00
_cell_angle_gamma 90.00
_space_group_name_H-M_alt 'P m m 2'
_space_group_IT_number 25
_space_group_name_Hall 'P 2 -2'
loop_
_atom_site_label
_atom_site_type_symbol
_atom_site_fract_x
_atom_site_fract_y
_atom_site_fract_z
Sr1 Sr 0.000 0.000 0.000
Mg1 Mg 0.500 0.500 0.542
Te1 Te 0.000 0.500 0.988
Te2 Te 0.500 0.000 0.499
```



No. 2
Compound: SrMg2Te2
Source: Alexandria via LeMat-Bulk
Functional: SCAN
Structure: PBEsol geometry

Properties
E: -1.6222 Ry/atom
volume: 286.9 Å³/cell
magnetization: 0.000 μB/atom

Structure (CIF):
```
data_SrMg2Te2
_cell_length_a 4.267
_cell_length_b 4.267
_cell_length_c 15.758
_cell_angle_alpha 90.00
_cell_angle_beta 90.00
_cell_angle_gamma 90.00
_space_group_name_H-M_alt 'I 4/m m m'
_space_group_IT_number 139
_space_group_name_Hall '-I 4 2'
loop_
_atom_site_label
_atom_site_type_symbol
_atom_site_fract_x
_atom_site_fract_y
_atom_site_fract_z
Sr1 Sr 0.000 0.000 0.000
Mg1 Mg 0.000 0.500 0.250
Te1 Te 0.000 0.000 0.392
```



No. 3
Compound: Sr4MgTe
Source: Alexandria via LeMat-Bulk
Functional: SCAN
Structure: PBEsol geometry

Properties
E: -1.5970 Ry/atom
volume: 1003.4 Å³/cell
magnetization: 0.248 μB/atom

Structure (CIF):
```
data_Sr4MgTe
_cell_length_a 10.011
_cell_length_b 10.011
_cell_length_c 10.011
_cell_angle_alpha 90.00
_cell_angle_beta 90.00
_cell_angle_gamma 90.00
_space_group_name_H-M_alt 'F -4 3 m'
_space_group_IT_number 216
_space_group_name_Hall 'F -4 2 3'
loop_
_atom_site_label
_atom_site_type_symbol
_atom_site_fract_x
_atom_site_fract_y
_atom_site_fract_z
Sr1 Sr 0.125 0.125 0.125
Mg1 Mg 0.250 0.250 0.750
Te1 Te 0.000 0.000 0.500
```



No. 4
Compound: Sr2MgTe
Source: Alexandria via LeMat-Bulk
Functional: SCAN
Structure: PBEsol geometry

Properties
E: -1.6453 Ry/atom
volume: 275.6 Å³/cell
polymorph energy (0 for the lowest one): 0.000 eV/f.u.
magnetization: 0.000 μB/atom

Structure (CIF):
```
data_Sr2MgTe
_cell_length_a 4.114
_cell_length_b 5.417
_cell_length_c 12.369
_cell_angle_alpha 90.00
_cell_angle_beta 90.00
_cell_angle_gamma 90.00
_space_group_name_H-M_alt 'I m m 2'
_space_group_IT_number 44
_space_group_name_Hall 'I 2 -2'
loop_
_atom_site_label
_atom_site_type_symbol
_atom_site_fract_x
_atom_site_fract_y
_atom_site_fract_z
Sr1 Sr 0.000 0.000 0.000
Sr2 Sr 0.000 0.500 0.213
Mg1 Mg 0.000 0.000 0.427
Te1 Te 0.000 0.500 0.728
```



No. 5
Compound: SrMg3Te
Source: Alexandria via LeMat-Bulk
Functional: SCAN
Structure: PBEsol geometry

Properties
E: -1.0213 Ry/atom
volume: 227.0 Å³/cell
magnetization: 0.000 μB/atom

Structure (CIF):
```
data_SrMg3Te
_cell_length_a 6.100
_cell_length_b 6.100
_cell_length_c 6.100
_cell_angle_alpha 90.00
_cell_angle_beta 90.00
_cell_angle_gamma 90.00
_space_group_name_H-M_alt 'P m -3 m'
_space_group_IT_number 221
_space_group_name_Hall '-P 4 2 3'
loop_
_atom_site_label
_atom_site_type_symbol
_atom_site_fract_x
_atom_site_fract_y
_atom_site_fract_z
Sr1 Sr 0.000 0.000 0.000
Mg1 Mg 0.000 0.000 0.500
Te1 Te 0.500 0.500 0.500
```



No. 6
Compound: Sr2MgTe
Source: Alexandria via LeMat-Bulk
Functional: SCAN
Structure: PBEsol geometry

Properties
E: -1.6414 Ry/atom
volume: 264.0 Å³/cell
polymorph energy (0 for the lowest one): 0.215 eV/f.u.
magnetization: 0.000 μB/atom

Structure (CIF):
```
data_Sr2MgTe
_cell_length_a 5.156
_cell_length_b 5.169
_cell_length_c 9.904
_cell_angle_alpha 90.00
_cell_angle_beta 90.00
_cell_angle_gamma 90.00
_space_group_name_H-M_alt 'I m m m'
_space_group_IT_number 71
_space_group_name_Hall '-I 2 2'
loop_
_atom_site_label
_atom_site_type_symbol
_atom_site_fract_x
_atom_site_fract_y
_atom_site_fract_z
Sr1 Sr 0.000 0.000 0.250
Mg1 Mg 0.000 0.500 0.000
Te1 Te 0.000 0.500 0.500
```



No. 7
Compound: Sr3MgTi
Source: Alexandria via LeMat-Bulk
Functional: SCAN
Structure: PBEsol geometry

Properties
DFT formation energy: 0.762 eV/atom
E: -1.2350 Ry/atom
volume: 235.0 Å³/cell
magnetization: 0.560 μB/atom

Structure (CIF):
```
data_Sr3MgTi
_cell_length_a 6.171
_cell_length_b 6.171
_cell_length_c 6.171
_cell_angle_alpha 90.00
_cell_angle_beta 90.00
_cell_angle_gamma 90.00
_space_group_name_H-M_alt 'P m -3 m'
_space_group_IT_number 221
_space_group_name_Hall '-P 4 2 3'
loop_
_atom_site_label
_atom_site_type_symbol
_atom_site_fract_x
_atom_site_fract_y
_atom_site_fract_z
Sr1 Sr 0.000 0.000 0.500
Mg1 Mg 0.000 0.000 0.000
Ti1 Ti 0.500 0.500 0.500
```



No. 8
Compound: SrMg2Tl
Source: Alexandria via LeMat-Bulk
Functional: SCAN
Structure: PBEsol geometry

Properties
DFT formation energy: -0.251 eV/atom
E: -1.9401 Ry/atom
volume: 431.1 Å³/cell
polymorph energy (0 for the lowest one): 0.000 eV/f.u.
magnetization: 0.001 μB/atom

Structure (CIF):
```
data_SrMg2Tl
_cell_length_a 7.554
_cell_length_b 7.554
_cell_length_c 7.554
_cell_angle_alpha 90.00
_cell_angle_beta 90.00
_cell_angle_gamma 90.00
_space_group_name_H-M_alt 'F -4 3 m'
_space_group_IT_number 216
_space_group_name_Hall 'F -4 2 3'
loop_
_atom_site_label
_atom_site_type_symbol
_atom_site_fract_x
_atom_site_fract_y
_atom_site_fract_z
Sr1 Sr 0.000 0.000 0.000
Mg1 Mg 0.000 0.000 0.500
Mg2 Mg 0.250 0.250 0.250
Tl1 Tl 0.250 0.250 0.750
```



Q: Number 6 is which compound?
A: Sr2MgTe



What did the second record say?
Compound: SrMg2Te2
Source: Alexandria via LeMat-Bulk
Functional: SCAN
Structure: PBEsol geometry

Properties
E: -1.6222 Ry/atom
volume: 286.9 Å³/cell
magnetization: 0.000 μB/atom

Structure (CIF):
```
data_SrMg2Te2
_cell_length_a 4.267
_cell_length_b 4.267
_cell_length_c 15.758
_cell_angle_alpha 90.00
_cell_angle_beta 90.00
_cell_angle_gamma 90.00
_space_group_name_H-M_alt 'I 4/m m m'
_space_group_IT_number 139
_space_group_name_Hall '-I 4 2'
loop_
_atom_site_label
_atom_site_type_symbol
_atom_site_fract_x
_atom_site_fract_y
_atom_site_fract_z
Sr1 Sr 0.000 0.000 0.000
Mg1 Mg 0.000 0.500 0.250
Te1 Te 0.000 0.000 0.392
```



Q: Which value of magnetization does entry 3 give?
A: 0.248 μB/atom